[1]
Computed, not measured: Cs2TaHgF6 after structural relaxation at the GGA-PBE level of DFT.

Cell: 7.0973 7.0973 7.0973 Å, 119.65 119.65 90.61°
Positions (direct):
Cs 0.2500 0.7500 0.5000
Cs 0.7500 0.2500 0.5000
Ta 0.0000 0.0000 0.0000
Hg 0.5000 0.5000 0.0000
F 0.1979 0.1979 0.0000
F 0.1996 0.1996 0.3992
F 0.1996 0.8004 0.0000
F 0.8004 0.1996 0.0000
F 0.8004 0.8004 0.6008
F 0.8021 0.8021 0.0000

Values from the calculation:
SG ... I4/mmm
Volume ... 254.1 Å³ per cell
Final energy ... -5.14 eV/atom
Raw formation energy ... -2.629 eV per atom
Theoretical density ... 5.0 g/cm³
Total moment ... 0.1000 μB/atom

***

[2]
Computed, not measured: TiFeCu4 after structural relaxation at the GGA-PBE level of DFT.

Cell: 4.7899 4.7899 4.7899 Å, 60.00 60.00 60.00°
Positions (direct):
Ti 0.0000 0.0000 0.0000
Fe 0.2500 0.2500 0.2500
Cu 0.1260 0.6247 0.6247
Cu 0.6247 0.1260 0.6247
Cu 0.6247 0.6247 0.1260
Cu 0.6247 0.6247 0.6247

Values from the calculation:
DFT formation energy ... 0.0796 eV/atom
SG ... F-43m
Volume ... 77.7 Å³ per cell
Final energy ... -5.38 eV/atom
Theoretical density ... 7.6 g/cm³
Total moment ... 0.0979 μB/atom

***

[3]
Computed, not measured: KRbCaPb after structural relaxation at the GGA-PBE level of DFT.

Cell: 6.0517 6.0517 6.0517 Å, 60.00 60.00 60.00°
Positions (direct):
K 0.0000 0.0000 0.0000
Rb 0.7500 0.7500 0.7500
Ca 0.5000 0.5000 0.5000
Pb 0.2500 0.2500 0.2500

Values from the calculation:
DFT formation energy ... -0.1131 eV/atom
SG ... F-43m
Volume ... 156.7 Å³ per cell
Final energy ... -2.06 eV/atom
Theoretical density ... 3.9 g/cm³
Total moment ... 0.0000 μB/atom

***

[4]
Computed, not measured: BeP2W after structural relaxation at the GGA-PBE level of DFT.

Cell: 4.8464 4.8464 4.8464 Å, 137.24 137.24 62.07°
Positions (direct):
Be 0.0000 0.0000 0.0000
P 0.2500 0.7500 0.5000
P 0.5000 0.5000 0.0000
W 0.7500 0.2500 0.5000

Values from the calculation:
DFT formation energy ... 0.3860 eV/atom
SG ... I-4m2
Volume ... 51.9 Å³ per cell
Final energy ... -6.49 eV/atom
Theoretical density ... 8.2 g/cm³
Total moment ... 0.0000 μB/atom

***

[5]
Computed, not measured: GeTe3Se after structural relaxation at the GGA-PBE level of DFT.

Cell: 5.4489 5.4489 5.4489 Å, 90.00 90.00 90.00°
Positions (direct):
Ge 0.0000 0.0000 0.0000
Te 0.0000 0.5000 0.5000
Te 0.5000 0.0000 0.5000
Te 0.5000 0.5000 0.0000
Se 0.5000 0.5000 0.5000

Values from the calculation:
SG ... Pm-3m
Distance to the lowest polymorph of the same formula ... 0 meV per atom
Volume ... 161.8 Å³ per cell
Final energy ... -2.90 eV/atom
Raw formation energy ... 0.602 eV per atom
Theoretical density ... 5.5 g/cm³
Total moment ... 0.0000 μB/atom

***

[6]
Computed, not measured: AcGd2Pa after structural relaxation at the GGA-PBE level of DFT.

Cell: 3.5383 3.5383 10.4564 Å, 90.00 90.00 90.00°
Positions (direct):
Ac 0.0000 0.0000 0.0000
Gd 0.5000 0.5000 0.2830
Gd 0.5000 0.5000 0.7170
Pa 0.0000 0.0000 0.5000

Values from the calculation:
DFT formation energy ... 0.1718 eV/atom
SG ... P4/mmm
Distance to the lowest polymorph of the same formula ... 0 meV per atom
Volume ... 130.9 Å³ per cell
Final energy ... -10.27 eV/atom
Theoretical density ... 9.8 g/cm³
Total moment ... 3.4080 μB/atom

***

The calculation returns the following density of states at the Fermi level values, one per record and in order: 0.8620, 1.5994, 0.6192, 0.8503, 0.5662, 1.6078 states/eV per atom.